[1]
Compound: Sc2AgP
Source: Alexandria via LeMat-Bulk
Functional: PBE-GGA
Structure: relaxed

Calculated values
energy above the most stable polymorph in this dataset = 0.2255 eV per atom
ΔE_f = -529 meV per atom

abc: 4.7096 4.7096 4.7096
angles: 60.00 60.00 60.00
Sites, in units of the cell vectors:
Sc 0.2500 0.2500 0.2500
Sc 0.7500 0.7500 0.7500
Ag 0.0000 0.0000 0.0000
P 0.5000 0.5000 0.5000



[2]
Compound: KRhAu
Source: Alexandria via LeMat-Bulk
Functional: PBE-GGA
Structure: relaxed

Calculated values
energy above the most stable polymorph in this dataset = 0.0000 eV per atom
ΔE_f = 203 meV per atom

abc: 6.2989 6.2989 6.2989
angles: 154.22 138.26 49.71
Sites, in units of the cell vectors:
K 0.0000 0.0000 0.0000
Rh 0.7286 0.7286 0.0000
Au 0.2755 0.2755 0.0000



[3]
Compound: AcNi3Ir
Source: Alexandria via LeMat-Bulk
Functional: PBE-GGA
Structure: relaxed

Calculated values
energy above the most stable polymorph in this dataset = 0.0000 eV per atom
ΔE_f = -165 meV per atom

abc: 6.5454 6.5454 5.0963
angles: 90.00 90.00 128.83
Sites, in units of the cell vectors:
Ac 0.1104 0.8896 0.7500
Ac 0.8896 0.1104 0.2500
Ni 0.1279 0.4403 0.7500
Ni 0.3101 0.6899 0.2500
Ni 0.4403 0.1279 0.2500
Ni 0.5597 0.8721 0.7500
Ni 0.6899 0.3101 0.7500
Ni 0.8721 0.5597 0.2500
Ir 0.5000 0.5000 0.0000
Ir 0.5000 0.5000 0.5000



[4]
Compound: Be2NiSBr
Source: Alexandria via LeMat-Bulk
Functional: PBE-GGA
Structure: relaxed

Calculated values
formation energy (no corrections) = 5.962 eV/f.u.

abc: 4.4960 4.4960 4.2885
angles: 90.00 90.00 90.00
Sites, in units of the cell vectors:
Be 0.0000 0.5000 0.0000
Be 0.5000 0.0000 0.0000
Ni 0.0000 0.0000 0.5000
S 0.5000 0.5000 0.5000
Br 0.0000 0.0000 0.0000



[5]
Compound: PuThCS
Source: Alexandria via LeMat-Bulk
Functional: PBE-GGA
Structure: relaxed

Calculated values
formation energy (no corrections) = -3.686 eV/f.u.

abc: 7.1134 7.1134 7.1134
angles: 30.83 30.83 30.83
Sites, in units of the cell vectors:
Pu 0.0000 0.0000 0.0000
Th 0.1945 0.1945 0.1945
C 0.5925 0.5925 0.5925
S 0.7623 0.7623 0.7623



[6]
Compound: NdHo3ErTh
Source: Alexandria via LeMat-Bulk
Functional: PBE-GGA
Structure: relaxed

Calculated values
ΔE_f = 28 meV per atom

abc: 7.9500 5.0511 10.0845
angles: 90.00 108.84 90.00
Sites, in units of the cell vectors:
Nd 0.1680 0.2500 0.2922
Nd 0.8320 0.7500 0.7078
Ho 0.1694 0.7500 0.5435
Ho 0.1744 0.7500 0.0428
Ho 0.1755 0.2500 0.7929
Ho 0.8245 0.7500 0.2071
Ho 0.8256 0.2500 0.9572
Ho 0.8306 0.2500 0.4565
Er 0.4991 0.2500 0.6278
Er 0.5009 0.7500 0.3722
Th 0.4980 0.7500 0.8783
Th 0.5020 0.2500 0.1217